Computed, not measured: crystalline K2In at its relaxed geometry at the PBE-GGA level of DFT.

a = 7.3358 Å, b = 7.3358 Å, c = 7.3358 Å
α = 101.39°, β = 101.39°, γ = 127.24°
With the nearest neighbours (Å) after each atom.
Element x y z (fractional)
K  0.1678  0.6678  0.8356  4 In 3.82, 2 K 3.91
K  0.3322  0.1678  0.5000  4 In 3.82, 2 K 3.91
K  0.6678  0.8322  0.5000  4 In 3.82, 2 K 3.91
K  0.8322  0.3322  0.1644  4 In 3.82, 2 K 3.91
In  0.2500  0.2500  0.0000  2 In 3.26
In  0.7500  0.7500  0.0000  2 In 3.26

Values from the calculation:
For the formation energy, the calculation gives -36 meV per atom. The calculation puts the total magnetization at 0.00 μB/f.u. Its relative energy among the computed polymorphs is 0 meV/atom. The calculation puts the volume at 281.5 Å³/cell. For the total energy, the calculation gives -5.04 eV/f.u. The value obtained for the density is 2.28 g/cm³. The density of states at the Fermi level is 3.5 states/eV per cell.